! PBE Ta2BeZn, relaxed; values from VASP
&SYSTEM
  ibrav = 0, nat = 16, ntyp = 3
/
ATOMIC_SPECIES
Ta 180.95 Ta.upf
Be 9.01 Be.upf
Zn 65.41 Zn.upf
ATOMIC_POSITIONS crystal
Ta 0.246 0.250 0.125
Ta 0.250 0.746 0.375
Ta 0.250 0.754 0.875
Ta 0.254 0.250 0.625
Ta 0.746 0.750 0.625
Ta 0.750 0.246 0.875
Ta 0.750 0.254 0.375
Ta 0.754 0.750 0.125
Be 0.000 0.000 0.000
Be 0.000 0.500 0.250
Be 0.500 0.000 0.750
Be 0.500 0.500 0.500
Zn 0.000 0.000 0.500
Zn 0.000 0.500 0.750
Zn 0.500 0.000 0.250
Zn 0.500 0.500 0.000
CELL_PARAMETERS angstrom
3.773 0.000 0.000
0.000 3.773 0.000
0.000 0.000 19.091
! Energy of formation   0.7637 eV per atom
! Fermi-level density of states   21.26 states/eV per cell